A relaxed structure of La2Pm3TaN6. Source: the Alexandria database, functional PBE.

The calculation puts the density of states at the Fermi level at 2.00 states/eV/f.u. As for the spin magnetization: 0.00 μB/cell. Its total energy is -8.49 eV per atom. The uncorrected formation energy is -1.33 eV/atom.

It has space group C2/m (No. 12), with a = 6.186 Å, b = 10.734 Å, c = 6.083 Å, α = 90.00°, β = 109.62° and γ = 90.00°. The inequivalent atoms are La at (0.000, 0.167, 0.000), Pm at (0.000, 0.000, 0.500), Pm at (0.000, 0.338, 0.500), Ta at (0.000, 0.500, 0.000), N at (0.217, 0.500, 0.764) and N at (0.221, 0.355, 0.226).